{"formula": "TlMo2Pt", "functional": "PBE-GGA", "state": "optimized geometry", "cell": [[-1.630, 1.937, -1.356], [-1.528, -1.019, 2.208], [3.334, 6.537, 5.326]], "species": ["Mo", "Mo", "Pt", "Tl"], "frac_coords": [[0.000, 0.000, 0.025], [0.500, 0.500, 0.249], [0.000, 0.000, 0.478], [0.500, 0.500, 0.748]], "total_magnetization_mub_per_fu": 0.000, "dft_energy_ev_per_cell": -28.89, "e_above_lowest_polymorph_mev_per_atom": 31, "formation_energy_ev_per_atom": 0.295}